# 1
A plane-wave DFT calculation with PBE was carried out for an optimized crystal structure of TmNiHgRh. Values from VASP.

Energy relative to the elements, meV per atom: -385
M_tot, μB per atom: 0.000
Raw total energy, eV per atom: -4.861

Cell and atoms, written as Quantum ESPRESSO input:
```
&SYSTEM
  ibrav = 0, nat = 4, ntyp = 4
/
ATOMIC_SPECIES
Tm 168.93 Tm.upf
Ni 58.69 Ni.upf
Hg 200.59 Hg.upf
Rh 102.91 Rh.upf
ATOMIC_POSITIONS crystal
Tm 0.0000 0.0000 0.0000
Ni 0.7500 0.7500 0.7500
Hg 0.5000 0.5000 0.5000
Rh 0.2500 0.2500 0.2500
CELL_PARAMETERS angstrom
0.0000 3.2717 3.2717
3.2717 0.0000 3.2717
3.2717 3.2717 0.0000
```

# 2
A plane-wave DFT calculation with PBE was carried out for an optimized crystal structure of PuGe2Pb. Values from VASP.

Energy relative to the elements, meV per atom: -60
M_tot, μB per atom: 1.345
Raw total energy, eV per atom: -6.878
E above lowest polymorph, eV per atom: 0.153

Cell and atoms, written as Quantum ESPRESSO input:
```
&SYSTEM
  ibrav = 0, nat = 4, ntyp = 3
/
ATOMIC_SPECIES
Pu 244.00 Pu.upf
Ge 72.64 Ge.upf
Pb 207.20 Pb.upf
ATOMIC_POSITIONS crystal
Pu 0.0000 0.0000 0.0000
Ge 0.5000 0.5000 0.2089
Ge 0.5000 0.5000 0.7911
Pb 0.0000 0.0000 0.5000
CELL_PARAMETERS angstrom
3.9238 0.0000 0.0000
0.0000 3.9238 0.0000
0.0000 0.0000 6.3023
```

# 3
A plane-wave DFT calculation with PBE was carried out for an optimized crystal structure of TaPBr. Values from VASP.

Uncorrected formation energy, kJ/mol of formula units: -42
M_tot, μB per atom: 0.073
Raw total energy, eV per atom: -6.458
E above lowest polymorph, eV per atom: 0.187

Cell and atoms, written as Quantum ESPRESSO input:
```
&SYSTEM
  ibrav = 0, nat = 3, ntyp = 3
/
ATOMIC_SPECIES
Ta 180.95 Ta.upf
P 30.97 P.upf
Br 79.90 Br.upf
ATOMIC_POSITIONS crystal
Ta 0.0000 0.0000 0.0000
P 0.5986 0.5986 0.0000
Br 0.3544 0.3544 0.0000
CELL_PARAMETERS angstrom
-1.5899 1.5899 6.4068
1.5899 -1.5899 6.4068
1.5899 1.5899 -6.4068
```

# 4
A plane-wave DFT calculation with PBE was carried out for an optimized crystal structure of LaYIr2. Values from VASP.

Energy relative to the elements, meV per atom: -424
M_tot, μB per atom: 0.000
Raw total energy, eV per atom: -7.702
E above lowest polymorph, eV per atom: 0.238

Cell and atoms, written as Quantum ESPRESSO input:
```
&SYSTEM
  ibrav = 0, nat = 4, ntyp = 3
/
ATOMIC_SPECIES
La 138.91 La.upf
Y 88.91 Y.upf
Ir 192.22 Ir.upf
ATOMIC_POSITIONS crystal
La 0.0000 0.0000 0.0000
Y 0.5000 0.5000 0.4268
Ir 0.0000 0.0000 0.4994
Ir 0.5000 0.5000 0.9284
CELL_PARAMETERS angstrom
3.4044 0.0000 0.0000
0.0000 4.7411 0.0000
0.0000 0.0000 5.7454
```